Record 1
Crystalline AlHgRh2 at its relaxed geometry. Source: the Alexandria database, functional PBE.

Computed properties:
The calculation puts the density of states at the Fermi level at 2.9 states/eV/f.u. The relative energy among the computed polymorphs comes out at 488 meV per atom. For the formation energy, the calculation gives -4 kJ/mol of formula units.

```
AlHgRh2
1.0
1.459 0.843 8.809
-1.459 0.843 8.809
0.000 -1.685 8.809
Al Hg Rh
1 1 2
Cartesian
0.000 0.000 0.000 Al
0.000 0.000 20.051 Hg
0.000 0.000 6.967 Rh
0.000 0.000 13.594 Rh
```

***

Record 2
Crystalline TmLuC2 at its relaxed geometry. Source: the Alexandria database, functional PBE.

Computed properties:
The calculation puts the density of states at the Fermi level at 3.6 states/eV/f.u. For the formation energy, the calculation gives 328 kJ/mol of formula units.

```
TmLuC2
1.0
1.878 1.084 6.426
-1.878 1.084 6.426
0.000 -2.168 6.426
Tm Lu C
1 1 2
Cartesian
0.000 0.000 0.000 Tm
0.000 0.000 9.639 Lu
0.000 0.000 7.491 C
0.000 0.000 11.787 C
```

***

Record 3
Crystalline NaHfMg2 at its relaxed geometry. Source: the Alexandria database, functional PBE.

Computed properties:
The calculation puts the density of states at the Fermi level at 4.7 states/eV/f.u. The relative energy among the computed polymorphs comes out at 299 meV per atom. For the formation energy, the calculation gives 169 kJ/mol of formula units.

```
NaHfMg2
1.0
0.000 3.629 3.629
3.629 0.000 3.629
3.629 3.629 0.000
Na Hf Mg
1 1 2
Cartesian
0.000 0.000 0.000 Na
3.629 3.629 3.629 Hf
1.815 1.815 1.815 Mg
5.444 5.444 5.444 Mg
```

***

Record 4
Crystalline Tm3Ag8 at its relaxed geometry. Source: the Alexandria database, functional PBE.

Computed properties:
The calculation puts the density of states at the Fermi level at 4.5 states/eV/f.u. For the formation energy, the calculation gives -251 kJ/mol of formula units.

```
Tm3Ag8
1.0
4.858 -2.059 0.000
4.858 2.059 0.000
-2.836 0.000 11.178
Tm Ag
3 8
Cartesian
0.000 0.000 0.000 Tm
-0.805 0.000 7.210 Tm
7.686 0.000 3.968 Tm
0.844 0.000 3.003 Ag
0.089 0.000 10.145 Ag
2.024 0.000 6.080 Ag
3.830 0.000 1.964 Ag
3.051 0.000 9.214 Ag
4.857 0.000 5.098 Ag
6.792 0.000 1.033 Ag
6.036 0.000 8.175 Ag
```

***

Record 5
Crystalline Sm6NiSe3S2 at its relaxed geometry. Source: the Alexandria database, functional PBE.

Computed properties:
The calculation puts the density of states at the Fermi level at 5.4 states/eV/f.u. The calculation puts the formation energy without anion corrections at -1.640 eV/atom.

```
Sm6NiSe3S2
1.0
9.021 -2.011 0.000
9.021 2.011 0.000
-2.017 0.000 8.098
Sm Ni Se S
6 1 3 2
Cartesian
-0.421 0.000 1.872 Sm
5.097 0.000 3.467 Sm
4.255 0.000 7.359 Sm
11.771 0.000 0.739 Sm
10.928 0.000 4.631 Sm
16.446 0.000 6.226 Sm
9.021 0.000 0.000 Ni
1.366 0.000 6.730 Se
8.013 0.000 4.049 Se
14.660 0.000 1.368 Se
2.352 0.000 2.707 S
13.673 0.000 5.391 S
```

***

Record 6
Crystalline ZnPPtAu2 at its relaxed geometry. Source: the Alexandria database, functional PBE.

Computed properties:
The calculation puts the density of states at the Fermi level at 2.7 states/eV/f.u. For the formation energy, the calculation gives 407 kJ/mol of formula units.

```
ZnPPtAu2
1.0
4.789 0.000 0.000
0.000 4.789 0.000
0.000 0.000 4.353
Zn P Pt Au
1 1 1 2
Cartesian
0.000 0.000 0.000 Zn
0.000 0.000 2.176 P
2.395 2.395 2.176 Pt
0.000 2.395 0.000 Au
2.395 0.000 0.000 Au
```

***

Record 7
Crystalline LiTiSi2 at its relaxed geometry. Source: the Alexandria database, functional PBE.

Computed properties:
The calculation puts the density of states at the Fermi level at 2.8 states/eV/f.u. The relative energy among the computed polymorphs comes out at 401 meV per atom. The calculation puts the formation energy without anion corrections at 0.068 eV/atom.

```
LiTiSi2
1.0
-3.364 3.364 2.646
3.364 -3.364 2.646
3.364 3.364 -2.646
Li Ti Si
2 2 4
Cartesian
0.000 0.000 0.000 Li
0.000 3.364 1.323 Li
3.364 0.000 1.323 Ti
0.000 0.000 2.646 Ti
5.046 1.528 -0.662 Si
1.528 1.682 0.662 Si
-1.682 1.837 1.985 Si
1.837 1.682 3.308 Si
```

***

Record 8
Crystalline Ac2MgUS6 at its relaxed geometry. Source: the Alexandria database, functional PBE.

Computed properties:
The calculation puts the density of states at the Fermi level at 5.7 states/eV/f.u. The calculation puts the formation energy without anion corrections at -1.732 eV/atom.

```
Ac2MgUS6
1.0
7.176 0.000 0.000
3.579 6.223 0.000
3.588 2.070 5.937
Ac Mg U S
2 1 1 6
Cartesian
0.000 0.000 0.000 Ac
7.177 4.148 3.025 Ac
3.585 2.073 2.042 Mg
10.756 6.218 5.041 U
4.280 4.036 3.674 S
6.456 6.155 0.759 S
8.519 6.719 3.673 S
5.791 2.525 0.758 S
8.723 1.697 3.677 S
9.266 3.755 0.755 S
```

***

Record 9
Crystalline Sr8TlHg2 at its relaxed geometry. Source: the Alexandria database, functional PBE.

Computed properties:
The calculation puts the density of states at the Fermi level at 12.6 states/eV/f.u. The relative energy among the computed polymorphs comes out at 0 meV per atom. For the formation energy, the calculation gives -287 kJ/mol of formula units.

```
Sr8TlHg2
1.0
10.223 -2.878 0.000
10.223 2.878 0.000
-2.688 0.000 7.726
Sr Tl Hg
8 1 2
Cartesian
-0.100 0.000 2.272 Sr
1.917 0.000 6.309 Sr
5.275 0.000 4.125 Sr
8.175 0.000 0.343 Sr
9.584 0.000 7.382 Sr
12.484 0.000 3.601 Sr
15.842 0.000 1.417 Sr
17.858 0.000 5.454 Sr
8.879 0.000 3.863 Tl
3.180 0.000 1.563 Hg
14.579 0.000 6.163 Hg
```

***

Record 10
Crystalline GdErBe2 at its relaxed geometry. Source: the Alexandria database, functional PBE.

Computed properties:
The calculation puts the density of states at the Fermi level at 3.7 states/eV/f.u. The relative energy among the computed polymorphs comes out at 0 meV per atom. For the formation energy, the calculation gives 38 kJ/mol of formula units.

```
GdErBe2
1.0
3.402 0.000 0.000
0.000 3.402 0.000
0.000 0.000 6.825
Gd Er Be
1 1 2
Cartesian
0.000 0.000 0.000 Gd
0.000 0.000 3.412 Er
1.701 1.701 1.804 Be
1.701 1.701 5.021 Be
```

***

Record 11
Crystalline TcRu2Br at its relaxed geometry. Source: the Alexandria database, functional PBE.

Computed properties:
The calculation puts the density of states at the Fermi level at 6.8 states/eV/f.u. The relative energy among the computed polymorphs comes out at 547 meV per atom. The calculation puts the formation energy without anion corrections at 1.087 eV/atom.

```
TcRu2Br
1.0
0.000 3.147 3.147
3.147 0.000 3.147
3.147 3.147 0.000
Tc Ru Br
1 2 1
Cartesian
0.000 0.000 0.000 Tc
1.573 1.573 1.573 Ru
4.720 4.720 4.720 Ru
3.147 3.147 3.147 Br
```

***

Record 12
Crystalline MnPPt2 at its relaxed geometry. Source: the Alexandria database, functional PBE.

Computed properties:
The calculation puts the density of states at the Fermi level at 2.7 states/eV/f.u. For the formation energy, the calculation gives -68 kJ/mol of formula units.

```
MnPPt2
1.0
2.857 0.000 0.000
0.000 2.857 0.000
0.000 0.000 6.754
Mn P Pt
1 1 2
Cartesian
0.000 0.000 0.000 Mn
1.429 1.429 1.161 P
0.000 0.000 2.834 Pt
1.429 1.429 4.946 Pt
```